No. 1
Crystalline PaBi2SbN at its relaxed geometry. Source: the Alexandria database, functional PBE.

Cell: 4.0597 4.0597 16.7613 Å, 90.00 90.00 90.00°
Sites, in units of the cell vectors:
N 0.0000 0.0000 0.5000
N 0.5000 0.5000 0.5000
Bi 0.5000 0.0000 0.9272
Bi 0.5000 0.0000 0.3267
Bi 0.0000 0.5000 0.0728
Bi 0.0000 0.5000 0.6733
Sb 0.5000 0.0000 0.1484
Sb 0.0000 0.5000 0.8516
Pa 0.0000 0.5000 0.4332
Pa 0.5000 0.0000 0.5668

Values from the calculation:
Total moment, Bohr magnetons per cell: 0.0
Raw formation energy, eV/atom: -0.60
DOS at the Fermi energy, states/eV per atom: 0.56
Space-group type: P4/nmm, No. 129

=====

No. 2
Crystalline CsSmMgO3 at its relaxed geometry. Source: the Alexandria database, functional PBE.

Cell: 3.6791 8.2092 8.7636 Å, 107.95 90.00 90.00°
Sites, in units of the cell vectors:
O 0.2500 0.5324 0.8711
O 0.7500 0.8458 0.1554
O 0.2500 0.1542 0.8446
O 0.2500 0.8518 0.4394
O 0.7500 0.4676 0.1289
O 0.7500 0.1482 0.5606
Sm 0.7500 0.3415 0.8584
Sm 0.2500 0.6585 0.1416
Mg 0.7500 0.9174 0.3901
Mg 0.2500 0.0826 0.6099
Cs 0.7500 0.7983 0.7868
Cs 0.2500 0.2017 0.2132

Values from the calculation:
Total moment, Bohr magnetons per cell: 0.0
Raw formation energy, eV/atom: -2.51
DOS at the Fermi energy, states/eV per atom: 0.00
Space-group type: P2_1/m, No. 11